1.
# Y2Mo4O15 (SCAN, PBEsol geometry)
# ΔE_f (raw) (meV/atom): -2630
data_Y2Mo4O15
_chemical_formula_sum 'Y4 Mo8 O30'
_cell_length_a 6.746
_cell_length_b 9.579
_cell_length_c 10.578
_cell_angle_alpha 90.00
_cell_angle_beta 105.23
_cell_angle_gamma 90.00
_symmetry_space_group_name_H-M 'P 1 21/c 1'
_symmetry_Int_Tables_number 14
loop_
_symmetry_equiv_pos_as_xyz
'x,y,z'
'-x,-y,-z'
'-x,y+1/2,-z+1/2'
'x,-y+1/2,z+1/2'
loop_
_atom_site_label
_atom_site_type_symbol
_atom_site_fract_x
_atom_site_fract_y
_atom_site_fract_z
Y1 Y 0.211 0.023 0.275
Mo1 Mo 0.081 0.744 0.011
Mo2 Mo 0.383 0.096 0.844
O1 O 0.023 0.128 0.397
O2 O 0.119 0.165 0.098
O3 O 0.123 0.055 0.818
O4 O 0.218 0.652 0.918
O5 O 0.249 0.635 0.617
O6 O 0.387 0.223 0.350
O7 O 0.448 0.028 0.707
O8 O 0.500 0.000 0.000

---

2.
# Y5Mo2O12 (SCAN, PBEsol geometry)
# ΔE_f (raw) (meV/atom): -3392
data_Y5Mo2O12
_chemical_formula_sum 'Y10 Mo4 O24'
_cell_length_a 12.184
_cell_length_b 5.677
_cell_length_c 7.469
_cell_angle_alpha 90.00
_cell_angle_beta 108.06
_cell_angle_gamma 90.00
_symmetry_space_group_name_H-M 'C 1 2/m 1'
_symmetry_Int_Tables_number 12
loop_
_symmetry_equiv_pos_as_xyz
'x,y,z'
'-x,-y,-z'
'-x,y,-z'
'x,-y,z'
'x+1/2,y+1/2,z'
'-x+1/2,-y+1/2,-z'
'-x+1/2,y+1/2,-z'
'x+1/2,-y+1/2,z'
loop_
_atom_site_label
_atom_site_type_symbol
_atom_site_fract_x
_atom_site_fract_y
_atom_site_fract_z
Y1 Y 0.000 0.000 0.000
Y2 Y 0.185 0.500 0.322
Y3 Y 0.194 0.500 0.860
Mo1 Mo 0.000 0.218 0.500
O1 O 0.001 0.000 0.295
O2 O 0.001 0.500 0.683
O3 O 0.155 0.252 0.075
O4 O 0.164 0.256 0.583

---

3.
# ZnMoO4 (SCAN, PBEsol geometry)
# ΔE_f (raw) (meV/atom): -1974
data_ZnMoO4
_chemical_formula_sum 'Zn2 Mo2 O8'
_cell_length_a 4.661
_cell_length_b 5.716
_cell_length_c 4.868
_cell_angle_alpha 90.00
_cell_angle_beta 90.15
_cell_angle_gamma 90.00
_symmetry_space_group_name_H-M 'P 1 2/c 1'
_symmetry_Int_Tables_number 13
loop_
_symmetry_equiv_pos_as_xyz
'x,y,z'
'-x,-y,-z'
'-x,y,-z+1/2'
'x,-y,z+1/2'
loop_
_atom_site_label
_atom_site_type_symbol
_atom_site_fract_x
_atom_site_fract_y
_atom_site_fract_z
Zn1 Zn 0.000 0.184 0.250
Mo1 Mo 0.500 0.313 0.750
O1 O 0.244 0.123 0.597
O2 O 0.283 0.395 0.062

---

4.
# ZrMoO3 (SCAN, PBEsol geometry)
# ΔE_f (raw) (meV/atom): -1797
data_ZrMoO3
_chemical_formula_sum 'Zr1 Mo1 O3'
_cell_length_a 4.080
_cell_length_b 4.080
_cell_length_c 4.080
_cell_angle_alpha 90.00
_cell_angle_beta 90.00
_cell_angle_gamma 90.00
_symmetry_space_group_name_H-M 'P m -3 m'
_symmetry_Int_Tables_number 221
_symmetry_space_group_name_Hall '-P 4 2 3'
loop_
_atom_site_label
_atom_site_type_symbol
_atom_site_fract_x
_atom_site_fract_y
_atom_site_fract_z
Zr1 Zr 0.000 0.000 0.000
Mo1 Mo 0.500 0.500 0.500
O1 O 0.000 0.000 0.500

---

5.
# Mo8Os7 (SCAN, PBEsol geometry)
# Energy of formation from the pure elements (meV per atom): 14
data_Mo8Os7
_chemical_formula_sum 'Mo16 Os14'
_cell_length_a 9.538
_cell_length_b 9.538
_cell_length_c 4.893
_cell_angle_alpha 90.00
_cell_angle_beta 90.00
_cell_angle_gamma 90.00
_symmetry_space_group_name_H-M 'P 42/m n m'
_symmetry_Int_Tables_number 136
_symmetry_space_group_name_Hall '-P 4n 2n'
loop_
_atom_site_label
_atom_site_type_symbol
_atom_site_fract_x
_atom_site_fract_y
_atom_site_fract_z
Mo1 Mo 0.039 0.367 0.000
Mo2 Mo 0.178 0.822 0.249
Os1 Os 0.000 0.000 0.500
Os2 Os 0.070 0.265 0.500
Os3 Os 0.097 0.097 0.000

---

6.
# Mo2Os (SCAN, PBEsol geometry)
# Energy of formation from the pure elements (meV per atom): 528
data_Mo2Os
_chemical_formula_sum 'Mo4 Os2'
_cell_length_a 3.604
_cell_length_b 4.655
_cell_length_c 6.140
_cell_angle_alpha 90.00
_cell_angle_beta 90.00
_cell_angle_gamma 90.00
_symmetry_space_group_name_H-M 'I m m m'
_symmetry_Int_Tables_number 71
_symmetry_space_group_name_Hall '-I 2 2'
loop_
_atom_site_label
_atom_site_type_symbol
_atom_site_fract_x
_atom_site_fract_y
_atom_site_fract_z
Mo1 Mo 0.000 0.000 0.210
Os1 Os 0.000 0.500 0.000

---

7.
# MoPOs2 (SCAN, PBEsol geometry)
# Energy of formation from the pure elements (meV per atom): 222
data_MoPOs2
_chemical_formula_sum 'Mo1 P1 Os2'
_cell_length_a 2.789
_cell_length_b 3.891
_cell_length_c 5.219
_cell_angle_alpha 90.00
_cell_angle_beta 90.00
_cell_angle_gamma 90.00
_symmetry_space_group_name_H-M 'P m m 2'
_symmetry_Int_Tables_number 25
loop_
_symmetry_equiv_pos_as_xyz
'x,y,z'
'-x,-y,z'
'-x,y,z'
'x,-y,z'
loop_
_atom_site_label
_atom_site_type_symbol
_atom_site_fract_x
_atom_site_fract_y
_atom_site_fract_z
Mo1 Mo 0.000 0.000 0.000
P1 P 0.500 0.500 0.824
Os1 Os 0.000 0.000 0.524
Os2 Os 0.500 0.500 0.342

---

8.
# Mo2POs (SCAN, PBEsol geometry)
# Energy of formation from the pure elements (meV per atom): -157
data_Mo2POs
_chemical_formula_sum 'Mo4 P2 Os2'
_cell_length_a 2.887
_cell_length_b 4.345
_cell_length_c 8.869
_cell_angle_alpha 90.00
_cell_angle_beta 90.00
_cell_angle_gamma 90.00
_symmetry_space_group_name_H-M 'I m m 2'
_symmetry_Int_Tables_number 44
loop_
_symmetry_equiv_pos_as_xyz
'x,y,z'
'-x,-y,z'
'-x,y,z'
'x,-y,z'
'x+1/2,y+1/2,z+1/2'
'-x+1/2,-y+1/2,z+1/2'
'-x+1/2,y+1/2,z+1/2'
'x+1/2,-y+1/2,z+1/2'
loop_
_atom_site_label
_atom_site_type_symbol
_atom_site_fract_x
_atom_site_fract_y
_atom_site_fract_z
Mo1 Mo 0.000 0.000 0.000
Mo2 Mo 0.000 0.500 0.203
P1 P 0.000 0.000 0.482
Os1 Os 0.000 0.500 0.769

---

9.
# MoP4Os (SCAN, PBEsol geometry)
# Energy of formation from the pure elements (meV per atom): 1058
data_MoP4Os
_chemical_formula_sum 'Mo4 P16 Os4'
_cell_length_a 6.828
_cell_length_b 6.828
_cell_length_c 6.828
_cell_angle_alpha 90.00
_cell_angle_beta 90.00
_cell_angle_gamma 90.00
_symmetry_space_group_name_H-M 'F -4 3 m'
_symmetry_Int_Tables_number 216
_symmetry_space_group_name_Hall 'F -4 2 3'
loop_
_atom_site_label
_atom_site_type_symbol
_atom_site_fract_x
_atom_site_fract_y
_atom_site_fract_z
Mo1 Mo 0.000 0.000 0.000
P1 P 0.125 0.125 0.625
Os1 Os 0.250 0.250 0.250

---

10.
# MoPOs (SCAN, PBEsol geometry)
# Energy of formation from the pure elements (meV per atom): -148
data_MoPOs
_chemical_formula_sum 'Mo2 P2 Os2'
_cell_length_a 2.881
_cell_length_b 2.881
_cell_length_c 9.622
_cell_angle_alpha 90.00
_cell_angle_beta 90.00
_cell_angle_gamma 90.00
_symmetry_space_group_name_H-M 'I 4 m m'
_symmetry_Int_Tables_number 107
_symmetry_space_group_name_Hall 'I 4 -2'
loop_
_atom_site_label
_atom_site_type_symbol
_atom_site_fract_x
_atom_site_fract_y
_atom_site_fract_z
Mo1 Mo 0.000 0.000 0.000
P1 P 0.000 0.000 0.345
Os1 Os 0.000 0.000 0.695

---

11.
# Mo2POs (SCAN, PBEsol geometry)
# Energy of formation from the pure elements (meV per atom): -82
data_Mo2POs
_chemical_formula_sum 'Mo4 P2 Os2'
_cell_length_a 3.812
_cell_length_b 2.865
_cell_length_c 10.360
_cell_angle_alpha 90.00
_cell_angle_beta 90.00
_cell_angle_gamma 90.00
_symmetry_space_group_name_H-M 'A m m 2'
_symmetry_Int_Tables_number 38
loop_
_symmetry_equiv_pos_as_xyz
'x,y,z'
'-x,-y,z'
'-x,y,z'
'x,-y,z'
'x,y+1/2,z+1/2'
'-x,-y+1/2,z+1/2'
'-x,y+1/2,z+1/2'
'x,-y+1/2,z+1/2'
loop_
_atom_site_label
_atom_site_type_symbol
_atom_site_fract_x
_atom_site_fract_y
_atom_site_fract_z
Mo1 Mo 0.000 0.000 0.000
Mo2 Mo 0.500 0.000 0.348
P1 P 0.500 0.000 0.590
Os1 Os 0.000 0.000 0.730

---

12.
# MoPOs (SCAN, PBEsol geometry)
# Energy of formation from the pure elements (meV per atom): 124
data_MoPOs
_chemical_formula_sum 'Mo2 P2 Os2'
_cell_length_a 2.839
_cell_length_b 3.964
_cell_length_c 7.403
_cell_angle_alpha 90.00
_cell_angle_beta 90.00
_cell_angle_gamma 90.00
_symmetry_space_group_name_H-M 'I m m 2'
_symmetry_Int_Tables_number 44
loop_
_symmetry_equiv_pos_as_xyz
'x,y,z'
'-x,-y,z'
'-x,y,z'
'x,-y,z'
'x+1/2,y+1/2,z+1/2'
'-x+1/2,-y+1/2,z+1/2'
'-x+1/2,y+1/2,z+1/2'
'x+1/2,-y+1/2,z+1/2'
loop_
_atom_site_label
_atom_site_type_symbol
_atom_site_fract_x
_atom_site_fract_y
_atom_site_fract_z
Mo1 Mo 0.000 0.000 0.000
P1 P 0.000 0.000 0.329
Os1 Os 0.000 0.000 0.654

---

Magnetization readings, ordered: 0.0; 1.0; 0.0; 4.0; 0.0; 0.0; 0.0; 0.0; 0.0; 0.0; 0.0; 0.0 μB/f.u.
Total energy readings, ordered: -687.84; -696.41; -170.34; -93.26; -1564.06; -280.13; -188.16; -305.35; -568.04; -235.22; -304.75; -233.58 eV for the cell shown